The following is a DFT calculation (GGA+U) of an optimized crystal structure of ErTlW2O8.

Total energy = -7.35 eV/atom

abc: 7.661 7.661 7.471
angles: 62.11 62.11 87.92
Fractional coordinates of all 24 atoms:
O1 0.958 0.766 0.198
O2 0.234 0.042 0.302
O3 0.248 0.378 0.940
O4 0.766 0.958 0.698
Er1 0.777 0.223 0.750
O5 0.374 0.596 0.461
O6 0.626 0.404 0.539
O7 0.357 0.055 0.882
O8 0.055 0.357 0.382
O9 0.378 0.248 0.440
W1 0.309 0.300 0.713
W2 0.691 0.700 0.287
O10 0.042 0.234 0.802
O11 0.622 0.752 0.560
Tl1 0.211 0.789 0.750
Er2 0.223 0.777 0.250
Tl2 0.789 0.211 0.250
O12 0.945 0.643 0.618
W3 0.700 0.691 0.787
W4 0.300 0.309 0.213
O13 0.596 0.374 0.961
O14 0.404 0.626 0.039
O15 0.643 0.945 0.118
O16 0.752 0.622 0.060